[1]
Here is a crystal of ZnAg3 relaxed with PBEsol from Alexandria. Energies are from meta-GGA SCAN.

Calculated volume = 15.88 Å³ per atom
Space group = C2/m, No. 12
Formation energy = -0.008 eV per atom
Total magnetization = 0.00 μB/atom

a b c (Å): 9.373 2.891 4.812
angles (deg): 90.00 103.08 90.00
Fractional positions:
Zn1 0.000 0.000 0.000
Zn2 0.500 0.500 0.000
Ag1 0.000 0.500 0.500
Ag2 0.242 0.500 0.243
Ag3 0.258 0.000 0.757
Ag4 0.500 0.000 0.500
Ag5 0.742 0.000 0.243
Ag6 0.758 0.500 0.757

[2]
Here is a crystal of ZnAg relaxed with PBEsol from Alexandria. Energies are from meta-GGA SCAN.

Calculated volume = 15.27 Å³ per atom
Space group = R-3m, No. 166
Formation energy = -0.005 eV per atom
Total magnetization = 0.00 μB/atom

a b c (Å): 2.826 2.826 13.242
angles (deg): 90.00 90.00 120.00
Fractional positions:
Zn1 0.000 0.000 0.000
Zn2 0.333 0.667 0.667
Zn3 0.667 0.333 0.333
Ag1 0.000 0.000 0.500
Ag2 0.333 0.667 0.167
Ag3 0.667 0.333 0.833

[3]
Here is a crystal of Zn12Ag17 relaxed with PBEsol from Alexandria. Energies are from meta-GGA SCAN.

Calculated volume = 15.38 Å³ per atom
Space group = I-43m, No. 217
Formation energy = -0.036 eV per atom
Total magnetization = 0.00 μB/atom

a b c (Å): 8.336 8.336 8.336
angles (deg): 109.47 109.47 109.47
Fractional positions:
Zn1 0.000 0.189 0.372
Zn2 0.000 0.372 0.189
Zn3 0.184 0.811 0.811
Zn4 0.189 0.000 0.372
Zn5 0.189 0.372 0.000
Zn6 0.372 0.000 0.189
Zn7 0.372 0.189 0.000
Zn8 0.628 0.628 0.816
Zn9 0.628 0.816 0.628
Zn10 0.811 0.184 0.811
Zn11 0.811 0.811 0.184
Zn12 0.816 0.628 0.628
Ag1 0.000 0.000 0.000
Ag2 0.000 0.000 0.657
Ag3 0.000 0.403 0.686
Ag4 0.000 0.657 0.000
Ag5 0.000 0.686 0.403
Ag6 0.283 0.597 0.597
Ag7 0.314 0.314 0.717
Ag8 0.314 0.717 0.314
Ag9 0.343 0.343 0.343
Ag10 0.403 0.000 0.686
Ag11 0.403 0.686 0.000
Ag12 0.597 0.283 0.597
Ag13 0.597 0.597 0.283
Ag14 0.657 0.000 0.000
Ag15 0.686 0.000 0.403
Ag16 0.686 0.403 0.000
Ag17 0.717 0.314 0.314

[4]
Here is a crystal of Zn4Ag5 relaxed with PBEsol from Alexandria. Energies are from meta-GGA SCAN.

Excess energy over the best structure of this formula in the dataset = 0.0 meV per atom
Calculated volume = 15.40 Å³ per atom
Space group = P6_3/mcm, No. 193
Formation energy = -0.003 eV per atom
Total magnetization = 0.00 μB/atom

a b c (Å): 7.684 7.684 5.420
angles (deg): 90.00 90.00 120.00
Fractional positions:
Zn1 0.000 0.000 0.000
Zn2 0.000 0.000 0.500
Zn3 0.000 0.365 0.250
Zn4 0.000 0.635 0.750
Zn5 0.365 0.000 0.250
Zn6 0.365 0.365 0.750
Zn7 0.635 0.000 0.750
Zn8 0.635 0.635 0.250
Ag1 0.000 0.300 0.750
Ag2 0.000 0.700 0.250
Ag3 0.300 0.000 0.750
Ag4 0.300 0.300 0.250
Ag5 0.333 0.667 0.000
Ag6 0.333 0.667 0.500
Ag7 0.667 0.333 0.000
Ag8 0.667 0.333 0.500
Ag9 0.700 0.000 0.250
Ag10 0.700 0.700 0.750